{
  "formula": "Nd2ThIr",
  "functional": "PBE",
  "state": "relaxed",
  "lattice_angstrom": [[3.729, 0.000, 0.000], [-1.864, 3.229, 0.000], [0.000, 0.000, 32.443]],
  "species": ["Nd", "Nd", "Nd", "Nd", "Nd", "Nd", "Th", "Th", "Th", "Ir", "Ir", "Ir"],
  "frac_coords": [[0.000, 0.000, 0.110], [0.000, 0.000, 0.890], [0.333, 0.667, 0.556], [0.333, 0.667, 0.777], [0.667, 0.333, 0.223], [0.667, 0.333, 0.444], [0.000, 0.000, 0.000], [0.333, 0.667, 0.667], [0.667, 0.333, 0.333], [0.000, 0.000, 0.500], [0.333, 0.667, 0.167], [0.667, 0.333, 0.833]],
  "ef_kj_per_mol_atoms": 3.0,
  "m_tot_mub_per_cell": 0.00,
  "de_polymorph_mev_per_atom": 507.9
}